Here is a relaxed Cs2CuTcS4 crystal from Alexandria via LeMat-Bulk. Energies are from PBE.

Geometry as CIF:
```
data_Cs2CuTcS4
_chemical_formula_sum 'Cs4 Cu2 Tc2 S8'
_space_group_name_H-M_alt 'P 1'
_space_group_IT_number 1
_cell_length_a 5.657
_cell_length_b 7.657
_cell_length_c 12.764
_cell_angle_alpha 85.30
_cell_angle_beta 77.20
_cell_angle_gamma 68.32
loop_
_space_group_symop_operation_xyz
'x,y,z'
loop_
_atom_site_label
_atom_site_type_symbol
_atom_site_fract_x
_atom_site_fract_y
_atom_site_fract_z
Cs1 Cs 0.177 0.000 0.646
Cs2 Cs 0.823 0.000 0.354
Cs3 Cs 0.573 0.500 0.854
Cs4 Cs 0.927 0.500 0.146
Cu1 Cu 0.750 0.500 0.500
Cu2 Cu 0.000 0.000 0.000
Tc1 Tc 0.250 0.500 0.500
Tc2 Tc 0.500 0.000 0.000
S1 S 0.301 0.820 0.101
S2 S 0.222 0.180 0.899
S3 S 0.879 0.820 0.899
S4 S 0.598 0.180 0.101
S5 S 0.449 0.680 0.399
S6 S 0.528 0.320 0.601
S7 S 0.871 0.680 0.601
S8 S 0.152 0.320 0.399
```

Space group: Fddd
Uncorrected energy: -4.828 eV per atom

---

Here is a relaxed CsCuTe2S4 crystal from Alexandria via LeMat-Bulk. Energies are from PBE.

Geometry as CIF:
```
data_CsCuTe2S4
_chemical_formula_sum 'Cs1 Cu1 Te2 S4'
_space_group_name_H-M_alt 'P 1'
_space_group_IT_number 1
_cell_length_a 7.126
_cell_length_b 6.711
_cell_length_c 6.711
_cell_angle_alpha 86.01
_cell_angle_beta 57.93
_cell_angle_gamma 57.93
loop_
_space_group_symop_operation_xyz
'x,y,z'
loop_
_atom_site_label
_atom_site_type_symbol
_atom_site_fract_x
_atom_site_fract_y
_atom_site_fract_z
Cs1 Cs 0.000 0.000 0.000
Cu1 Cu 0.000 0.500 0.500
Te1 Te 0.500 0.741 0.259
Te2 Te 0.500 0.259 0.741
S1 S 0.623 0.548 0.852
S2 S 0.377 0.148 0.452
S3 S 0.022 0.452 0.148
S4 S 0.978 0.852 0.548
```

Space group: I222
Uncorrected energy: -3.661 eV per atom

---

Here is a relaxed CsCuTeS3 crystal from Alexandria via LeMat-Bulk. Energies are from PBE.

Geometry as CIF:
```
data_CsCuTeS3
_chemical_formula_sum 'Cs2 Cu2 Te2 S6'
_space_group_name_H-M_alt 'P 1'
_space_group_IT_number 1
_cell_length_a 3.995
_cell_length_b 9.384
_cell_length_c 9.585
_cell_angle_alpha 112.64
_cell_angle_beta 90.00
_cell_angle_gamma 90.00
loop_
_space_group_symop_operation_xyz
'x,y,z'
loop_
_atom_site_label
_atom_site_type_symbol
_atom_site_fract_x
_atom_site_fract_y
_atom_site_fract_z
Cs1 Cs 0.250 0.214 0.255
Cs2 Cs 0.750 0.786 0.745
Cu1 Cu 0.250 0.074 0.582
Cu2 Cu 0.750 0.926 0.418
Te1 Te 0.250 0.675 0.159
Te2 Te 0.750 0.325 0.841
S1 S 0.750 0.867 0.150
S2 S 0.250 0.133 0.850
S3 S 0.250 0.803 0.450
S4 S 0.750 0.197 0.550
S5 S 0.750 0.483 0.164
S6 S 0.250 0.517 0.836
```

Space group: P2_1/m
Polymorph energy (0 for the lowest one): 2.019 kcal/mol of atoms

---

Number 1: spin magnetization 3.9 μB per cell. Number 2: spin magnetization 0.0 μB per cell. Number 3: spin magnetization 0.0 μB per cell.